Record 1
The following is a PBE calculation of a relaxed Na3CdAu2 crystal, from the Alexandria database.

Calculated values
**Energy above the most stable polymorph in this dataset**: 0.00 eV/f.u.
**ΔE_f**: -256 meV/atom

abc: 7.827 9.416 8.901
angles: 90.00 114.33 90.00
Space group P2_1/c (No. 14)
One atom of each set of equivalent atoms:
Na 0.098 0.167 0.309 x4
Na 0.208 0.615 0.642 x4
Na 0.326 0.028 0.789 x4
Cd 0.461 0.654 0.031 x4
Au 0.076 0.617 0.948 x4
Au 0.348 0.182 0.120 x4

---

Record 2
The following is a PBE calculation of a relaxed NaCd2Au2 crystal, from the Alexandria database.

Calculated values
**Energy above the most stable polymorph in this dataset**: 0.15 eV/f.u.
**ΔE_f**: -218 meV/atom

abc: 4.262 4.262 13.091
angles: 90.00 90.00 90.00
Space group I4/mmm (No. 139)
One atom of each set of equivalent atoms:
Na 0.000 0.000 0.000 x2
Cd 0.000 0.500 0.250 x4
Au 0.000 0.000 0.397 x4

---

Record 3
The following is a PBE calculation of a relaxed NaCd4Au6 crystal, from the Alexandria database.

Calculated values
**ΔE_f**: -106 meV/atom

abc: 6.948 6.948 10.785
angles: 90.00 90.00 90.00
Space group I-42m (No. 121)
One atom of each set of equivalent atoms:
Na 0.000 0.000 0.000 x2
Cd 0.215 0.215 0.318 x8
Au 0.000 0.500 0.000 x4
Au 0.168 0.168 0.590 x8

---

The following total energy values (in eV/cell) correspond, in order, to the records above: -51.9, -21.6, -51.6.